Computed, not measured: a relaxed structure of SbMoO5 at the GGA+U level of DFT.

Unit cell a=5.2690 b=9.9258 c=7.3377 alpha=90.00 beta=108.69 gamma=90.00
Closest atoms and distances in Å follow each position.
Space group P2_1/c (No. 14)
Inequivalent atoms, fractional coordinates:
1 Sb 0.0828 0.2438 0.3850 [4 per cell]  6 O 1.94-2.03
2 Mo 0.4978 0.0013 0.2318 [4 per cell]  4 O 1.85-1.98
3 O 0.1249 0.1887 0.6470 [4 per cell]  2 Sb 1.94-1.95
4 O 0.1850 0.5976 0.2110 [4 per cell]  1 Mo 1.85, 1 Sb 1.99
5 O 0.2365 0.6330 0.6655 [4 per cell]  1 Mo 1.87, 1 Sb 2.02
6 O 0.3400 0.1005 0.9877 [4 per cell]  1 Mo 1.98, 1 Sb 2.03
7 O 0.3645 0.1027 0.4131 [4 per cell]  1 Mo 1.97, 1 Sb 2.00

* E: -6.534 eV/atom
* crystal system: monoclinic